(1)
Density functional theory data (GGA-PBE) for crystalline TbSm5Cd4 at its relaxed geometry.

```
10
Lattice="3.7534 0.0000 0.0000 0.0000 3.7534 0.0000 0.0000 0.0000 20.4935" Properties=species:S:1:pos:R:3 pbc="T T T"
Tb 0.0000 0.0000 0.0000
Sm 1.8767 1.8767 2.4334
Sm 1.8767 1.8767 6.3579
Sm 1.8767 1.8767 10.2467
Sm 1.8767 1.8767 14.1356
Sm 1.8767 1.8767 18.0601
Cd 0.0000 0.0000 4.3783
Cd 0.0000 0.0000 8.2931
Cd 0.0000 0.0000 12.2004
Cd 0.0000 0.0000 16.1152
```

Calculated values
The total DFT energy (no corrections) comes out at -3.43 eV per atom. The value obtained for the volume is 288.7 Å³ per cell.

=====

(2)
Density functional theory data (GGA-PBE) for crystalline TbSm2Cd6 at its relaxed geometry.

```
9
Lattice="8.7151 0.0000 0.0000 -4.3575 7.5475 0.0000 0.0000 0.0000 3.4334" Properties=species:S:1:pos:R:3 pbc="T T T"
Tb 0.0000 0.0000 0.0000
Sm 0.0000 5.0317 0.0000
Sm 4.3575 2.5158 0.0000
Cd -1.4462 2.5049 1.7167
Cd -2.9113 5.0426 1.7167
Cd 2.8924 0.0000 1.7167
Cd 1.4462 2.5049 1.7167
Cd 5.8226 0.0000 1.7167
Cd 2.9113 5.0426 1.7167
```

Calculated values
The total DFT energy (no corrections) comes out at -2.50 eV per atom. The value obtained for the volume is 225.8 Å³ per cell.

=====

(3)
Density functional theory data (GGA-PBE) for crystalline Tb2SmCd8 at its relaxed geometry.

```
11
Lattice="4.0838 -7.9553 0.0000 4.0838 7.9553 0.0000 -3.3489 0.0000 4.1721" Properties=species:S:1:pos:R:3 pbc="T T T"
Tb 4.0838 4.9404 0.0000
Tb 4.0838 -4.9404 0.0000
Sm 2.4093 0.0000 2.0860
Cd -2.4627 0.0000 3.1828
Cd -0.3364 2.0623 3.1542
Cd 2.4093 3.2080 2.0860
Cd -0.3364 -2.0623 3.1542
Cd 5.1551 2.0623 1.0179
Cd 2.4093 -3.2080 2.0860
Cd 5.1551 -2.0623 1.0179
Cd 7.2813 0.0000 0.9892
```

Calculated values
The total DFT energy (no corrections) comes out at -2.20 eV per atom. The value obtained for the volume is 271.1 Å³ per cell.

=====

(4)
Density functional theory data (GGA-PBE) for crystalline Tb2SmCd2 at its relaxed geometry.

```
10
Lattice="2.7134 -8.0504 0.0000 2.7134 8.0504 0.0000 0.0000 0.0000 6.4782" Properties=species:S:1:pos:R:3 pbc="T T T"
Tb 2.7134 7.5434 3.2391
Tb 2.7134 4.9003 0.6440
Tb 2.7134 -4.9003 3.8831
Tb 2.7134 -7.5434 0.0000
Sm 2.7134 1.3721 2.1836
Sm 2.7134 -1.3721 5.4227
Cd 2.7134 4.5880 3.8744
Cd 2.7134 1.9385 5.4051
Cd 2.7134 -1.9385 2.1660
Cd 2.7134 -4.5880 0.6352
```

Calculated values
The total DFT energy (no corrections) comes out at -3.34 eV per atom. The value obtained for the volume is 283.0 Å³ per cell. Its energy above the most stable polymorph in this dataset is 7.3 kJ/mol of atoms.

=====

(5)
Density functional theory data (GGA-PBE) for crystalline Tb4SmCd5 at its relaxed geometry.

```
10
Lattice="3.7699 0.0000 0.0000 0.0000 3.7699 0.0000 0.0000 0.0000 18.8584" Properties=species:S:1:pos:R:3 pbc="T T T"
Tb 0.0000 0.0000 1.8698
Tb 0.0000 0.0000 5.6159
Tb 0.0000 0.0000 13.2426
Tb 0.0000 0.0000 16.9887
Sm 0.0000 0.0000 9.4292
Cd 1.8849 1.8849 0.0000
Cd 1.8849 1.8849 3.7454
Cd 1.8849 1.8849 7.4628
Cd 1.8849 1.8849 11.3956
Cd 1.8849 1.8849 15.1131
```

Calculated values
The total DFT energy (no corrections) comes out at -3.10 eV per atom. The value obtained for the volume is 268.0 Å³ per cell.

=====

(6)
Density functional theory data (GGA-PBE) for crystalline TbSm4Cd at its relaxed geometry.

```
6
Lattice="3.6338 0.0000 0.0000 0.0000 3.6338 0.0000 0.0000 0.0000 14.3011" Properties=species:S:1:pos:R:3 pbc="T T T"
Tb 0.0000 0.0000 0.0000
Sm 0.0000 0.0000 5.0522
Sm 0.0000 0.0000 9.2489
Sm 1.8169 1.8169 2.5208
Sm 1.8169 1.8169 11.7803
Cd 1.8169 1.8169 7.1505
```

Calculated values
The total DFT energy (no corrections) comes out at -4.16 eV per atom. The value obtained for the volume is 188.8 Å³ per cell. Its energy above the most stable polymorph in this dataset is 0.0 kJ/mol of atoms.

=====

(7)
Density functional theory data (GGA-PBE) for crystalline TbSm6Cd3 at its relaxed geometry.

```
20
Lattice="6.4196 -6.9965 0.0000 6.4196 6.9965 0.0000 0.0000 0.0000 6.8227" Properties=species:S:1:pos:R:3 pbc="T T T"
Tb 6.4196 4.2818 3.4113
Tb 6.4196 -4.2818 0.0000
Sm 3.5432 2.9839 1.1663
Sm 2.7690 0.3486 3.3771
Sm 6.4196 4.1928 6.7498
Sm 2.7690 -0.3486 6.7884
Sm 6.4196 1.0660 2.0933
Sm 3.5432 -2.9839 4.5777
Sm 9.2959 2.9839 1.1663
Sm 6.4196 -1.0660 5.5046
Sm 10.0701 0.3486 3.3771
Sm 6.4196 -4.1928 3.3385
Sm 10.0701 -0.3486 6.7884
Sm 9.2959 -2.9839 4.5777
Cd 6.4196 6.9790 1.6609
Cd 4.9578 1.7286 5.2496
Cd 7.8814 1.7286 5.2496
Cd 4.9578 -1.7286 1.8383
Cd 7.8814 -1.7286 1.8383
Cd 6.4196 -6.9790 5.0722
```

Calculated values
The total DFT energy (no corrections) comes out at -3.65 eV per atom. The value obtained for the volume is 612.9 Å³ per cell.

=====

(8)
Density functional theory data (GGA-PBE) for crystalline Tb6Sm2Cd at its relaxed geometry.

```
18
Lattice="10.5751 0.0000 0.0000 0.0000 10.5751 0.0000 0.0000 0.0000 4.9974" Properties=species:S:1:pos:R:3 pbc="T T T"
Tb 0.0009 3.5189 0.0000
Tb 10.5742 7.0562 0.0000
Tb 1.7461 1.7461 2.4987
Tb 1.7686 5.2884 2.4987
Tb 3.5189 0.0009 0.0000
Tb 3.5414 7.0337 0.0000
Tb 5.2884 1.7686 2.4987
Tb 5.2867 8.8065 2.4987
Tb 7.0337 3.5414 0.0000
Tb 7.0562 10.5742 0.0000
Tb 8.8065 5.2867 2.4987
Tb 8.8290 8.8290 2.4987
Sm 1.7286 8.8465 2.4987
Sm 3.5589 3.5589 0.0000
Sm 7.0162 7.0162 0.0000
Sm 8.8465 1.7286 2.4987
Cd 0.0000 0.0000 0.0000
Cd 5.2875 5.2875 2.4987
```

Calculated values
The total DFT energy (no corrections) comes out at -4.25 eV per atom. The value obtained for the volume is 558.9 Å³ per cell. Its energy above the most stable polymorph in this dataset is 1.6 kJ/mol of atoms.

=====

(9)
Density functional theory data (GGA-PBE) for crystalline TbSm2Cd at its relaxed geometry.

```
4
Lattice="1.8049 1.0421 11.0080 -1.8049 1.0421 11.0080 0.0000 -2.0841 11.0080" Properties=species:S:1:pos:R:3 pbc="T T T"
Tb 0.0000 0.0000 0.0000
Sm 0.0000 0.0000 8.0945
Sm 0.0000 0.0000 24.9295
Cd 0.0000 0.0000 16.5120
```

Calculated values
The total DFT energy (no corrections) comes out at -3.81 eV per atom. The value obtained for the volume is 124.2 Å³ per cell. Its energy above the most stable polymorph in this dataset is 7.6 kJ/mol of atoms.

=====

(10)
Density functional theory data (GGA-PBE) for crystalline Tb3Sm4Cd4 at its relaxed geometry.

```
11
Lattice="-2.6728 3.4643 8.8414 2.6728 -3.4643 8.8414 2.6728 3.4643 -8.8414" Properties=species:S:1:pos:R:3 pbc="T T T"
Tb 0.0000 0.0000 0.0000
Tb 2.6728 0.0000 7.1081
Tb 0.0000 3.4643 1.7333
Sm 2.6728 1.6511 -3.2079
Sm 2.6728 1.6511 3.2079
Sm 0.0000 1.8132 5.6335
Sm 0.0000 1.8132 12.0493
Cd 0.0000 0.0000 3.0075
Cd 2.6728 2.0043 0.0000
Cd 0.0000 1.4600 8.8414
Cd 0.0000 0.0000 14.6753
```

Calculated values
The total DFT energy (no corrections) comes out at -3.39 eV per atom. The value obtained for the volume is 327.5 Å³ per cell.

=====

(11)
Density functional theory data (GGA-PBE) for crystalline TbSm2Cd at its relaxed geometry.

```
4
Lattice="0.0000 3.9012 3.9012 3.9012 0.0000 3.9012 3.9012 3.9012 0.0000" Properties=species:S:1:pos:R:3 pbc="T T T"
Tb 0.0000 0.0000 0.0000
Sm 1.9506 1.9506 1.9506
Sm 5.8519 5.8519 5.8519
Cd 3.9012 3.9012 3.9012
```

Calculated values
The total DFT energy (no corrections) comes out at -3.78 eV per atom. The value obtained for the volume is 118.8 Å³ per cell. Its energy above the most stable polymorph in this dataset is 10.8 kJ/mol of atoms.

=====

(12)
Density functional theory data (GGA-PBE) for crystalline Tb6SmCd at its relaxed geometry.

```
8
Lattice="4.9350 0.0000 0.0000 0.0000 4.9350 0.0000 0.0000 0.0000 10.0549" Properties=species:S:1:pos:R:3 pbc="T T T"
Tb 0.0000 0.0000 0.0000
Tb 0.0000 0.0000 5.0275
Tb 0.0000 2.4675 2.4528
Tb 0.0000 2.4675 7.6021
Tb 2.4675 0.0000 2.4528
Tb 2.4675 0.0000 7.6021
Sm 2.4675 2.4675 5.0275
Cd 2.4675 2.4675 0.0000
```

Calculated values
The total DFT energy (no corrections) comes out at -4.21 eV per atom. The value obtained for the volume is 244.9 Å³ per cell. Its energy above the most stable polymorph in this dataset is 0.0 kJ/mol of atoms.

=====

(13)
Density functional theory data (GGA-PBE) for crystalline TbSmCd4 at its relaxed geometry.

```
6
Lattice="0.0000 4.2015 4.2015 4.2015 0.0000 4.2015 4.2015 4.2015 0.0000" Properties=species:S:1:pos:R:3 pbc="T T T"
Tb 0.0000 0.0000 0.0000
Sm 2.1007 2.1007 2.1007
Cd 5.2519 3.1510 3.1510
Cd 3.1510 5.2519 3.1510
Cd 3.1510 3.1510 5.2519
Cd 5.2519 5.2519 5.2519
```

Calculated values
The total DFT energy (no corrections) comes out at -2.44 eV per atom. The value obtained for the volume is 148.3 Å³ per cell. Its energy above the most stable polymorph in this dataset is 5.5 kJ/mol of atoms.

=====

(14)
Density functional theory data (GGA-PBE) for crystalline TbSm2Cd3 at its relaxed geometry.

```
6
Lattice="3.7929 0.0000 0.0000 0.0000 3.7929 0.0000 0.0000 0.0000 11.4025" Properties=species:S:1:pos:R:3 pbc="T T T"
Tb 0.0000 0.0000 0.0000
Sm 0.0000 0.0000 3.7787
Sm 0.0000 0.0000 7.6238
Cd 1.8965 1.8965 1.8346
Cd 1.8965 1.8965 5.7012
Cd 1.8965 1.8965 9.5679
```

Calculated values
The total DFT energy (no corrections) comes out at -3.12 eV per atom. The value obtained for the volume is 164.0 Å³ per cell.

=====

(15)
Density functional theory data (GGA-PBE) for crystalline Tb7Sm3Cd at its relaxed geometry.

```
11
Lattice="6.9940 0.0000 0.0000 -3.4970 6.0569 0.0000 0.0000 0.0000 8.5966" Properties=species:S:1:pos:R:3 pbc="T T T"
Tb 0.0000 0.0000 0.0000
Tb 0.0000 1.9862 5.7520
Tb -1.7769 5.0638 5.7520
Tb 3.4970 0.0085 8.5268
Tb 1.7558 3.0242 8.5268
Tb 1.7769 5.0638 5.7520
Tb 5.2381 3.0242 8.5268
Sm 1.7350 1.0017 2.8433
Sm 5.2590 1.0017 2.8433
Sm 3.4970 4.0535 2.8433
Cd 3.4970 2.0190 5.7726
```

Calculated values
The total DFT energy (no corrections) comes out at -4.16 eV per atom. The value obtained for the volume is 364.2 Å³ per cell.

=====

(16)
Density functional theory data (GGA-PBE) for crystalline TbSm8Cd6 at its relaxed geometry.

```
15
Lattice="4.5540 2.6293 6.4833 -4.5540 2.6293 6.4833 0.0000 -5.2585 6.4833" Properties=species:S:1:pos:R:3 pbc="T T T"
Tb 0.0000 0.0000 0.0000
Sm -1.5330 -2.6199 8.7610
Sm -3.0354 0.0177 10.6890
Sm 0.0000 0.0000 6.4979
Sm -1.5024 2.6376 8.7610
Sm 1.5024 -2.6376 10.6890
Sm 0.0000 0.0000 12.9521
Sm 3.0354 -0.0177 8.7610
Sm 1.5330 2.6199 10.6889
Cd -3.0517 0.0237 7.4563
Cd -1.5464 -2.6310 11.9937
Cd 1.5053 -2.6547 7.4563
Cd -1.5053 2.6547 11.9937
Cd 1.5464 2.6310 7.4563
Cd 3.0517 -0.0237 11.9937
```

Calculated values
The total DFT energy (no corrections) comes out at -3.28 eV per atom. The value obtained for the volume is 465.8 Å³ per cell.

=====

(17)
Density functional theory data (GGA-PBE) for crystalline Tb4Sm3Cd2 at its relaxed geometry.

```
9
Lattice="7.4145 -2.4624 0.0000 7.4145 2.4624 0.0000 -2.4955 0.0000 7.4068" Properties=species:S:1:pos:R:3 pbc="T T T"
Tb 0.0097 0.0000 2.4618
Tb 2.4260 0.0000 5.0498
Tb 9.9076 0.0000 2.3569
Tb 12.3238 0.0000 4.9450
Sm 4.8997 0.0000 2.4362
Sm 7.4145 0.0000 0.0000
Sm 7.4338 0.0000 4.9705
Cd -0.0360 0.0000 7.4050
Cd 12.3696 0.0000 0.0017
```

Calculated values
The total DFT energy (no corrections) comes out at -3.91 eV per atom. The value obtained for the volume is 270.5 Å³ per cell.

=====

(18)
Density functional theory data (GGA-PBE) for crystalline Tb2SmCd6 at its relaxed geometry.

```
9
Lattice="-1.6965 4.3628 7.6585 1.6965 -4.3628 7.6585 1.6965 4.3628 -7.6585" Properties=species:S:1:pos:R:3 pbc="T T T"
Tb 0.0000 0.0000 2.3058
Tb 0.0000 0.0000 13.0111
Sm 0.0000 4.3628 0.0000
Cd 1.6965 2.8555 -2.5958
Cd 1.6965 1.4943 0.0000
Cd 1.6965 2.8555 2.5958
Cd 0.0000 1.5073 5.0627
Cd 0.0000 2.8685 7.6585
Cd 0.0000 1.5073 10.2543
```

Calculated values
The total DFT energy (no corrections) comes out at -2.43 eV per atom. The value obtained for the volume is 226.7 Å³ per cell. Its energy above the most stable polymorph in this dataset is 6.1 kJ/mol of atoms.

=====

(19)
Density functional theory data (GGA-PBE) for crystalline Tb2Sm2Cd at its relaxed geometry.

```
10
Lattice="-2.5799 2.5799 12.3992 2.5799 -2.5799 12.3992 2.5799 2.5799 -12.3992" Properties=species:S:1:pos:R:3 pbc="T T T"
Tb 2.5799 1.2899 -4.8758
Tb 0.0000 1.2899 1.3238
Tb 2.5799 1.2899 11.0754
Tb 0.0000 1.2899 17.2751
Sm 2.5799 1.2899 -1.1578
Sm 0.0000 1.2899 5.0418
Sm 2.5799 1.2899 7.3575
Sm 0.0000 1.2899 13.5571
Cd 2.5799 1.2899 3.0998
Cd 0.0000 1.2899 9.2994
```

Calculated values
The total DFT energy (no corrections) comes out at -3.87 eV per atom. The value obtained for the volume is 330.1 Å³ per cell. Its energy above the most stable polymorph in this dataset is 16.0 kJ/mol of atoms.

=====

(20)
Density functional theory data (GGA-PBE) for crystalline Tb12Sm5Cd2 at its relaxed geometry.

```
19
Lattice="7.7630 -4.6339 0.0000 7.7630 4.6339 0.0000 -0.3296 0.0000 8.3675" Properties=species:S:1:pos:R:3 pbc="T T T"
Tb 0.7506 0.0000 2.7352
Tb 5.6883 2.8457 2.7354
Tb 5.2564 1.6967 6.3829
Tb 9.5080 2.8457 5.6321
Tb 6.5128 0.0000 0.9971
Tb 9.9399 1.6967 1.9846
Tb 5.2564 -1.6967 6.3829
Tb 8.6836 0.0000 7.3704
Tb 5.6883 -2.8457 2.7354
Tb 9.9399 -1.6967 1.9846
Tb 9.5080 -2.8457 5.6321
Tb 14.4457 0.0000 5.6322
Sm 3.1117 0.0000 0.1403
Sm 3.9972 0.0000 3.5527
Sm 7.5982 0.0000 4.1837
Sm 11.1991 0.0000 4.8147
Sm 12.0846 0.0000 8.2272
Cd 7.7630 3.0355 0.0000
Cd 7.7630 -3.0355 0.0000
```

Calculated values
The total DFT energy (no corrections) comes out at -4.22 eV per atom. The value obtained for the volume is 602.0 Å³ per cell.

=====

(21)
Density functional theory data (GGA-PBE) for crystalline Tb8SmCd6 at its relaxed geometry.

```
15
Lattice="4.5117 2.6049 6.3907 -4.5117 2.6049 6.3907 0.0000 -5.2097 6.3907" Properties=species:S:1:pos:R:3 pbc="T T T"
Tb -2.9951 0.0074 7.3497
Tb 0.0000 0.0000 3.2028
Tb -1.5039 -2.5902 11.8223
Tb 1.4912 -2.5976 7.3497
Tb -1.4912 2.5976 11.8223
Tb 1.5040 2.5902 7.3497
Tb 0.0000 0.0000 15.9692
Tb 2.9951 -0.0074 11.8223
Sm 0.0000 0.0000 9.5860
Cd -1.5174 -2.6282 8.5972
Cd -3.0348 0.0001 10.5747
Cd -1.5173 2.6282 8.5972
Cd 1.5173 -2.6282 10.5748
Cd 3.0348 -0.0001 8.5972
Cd 1.5174 2.6282 10.5747
```

Calculated values
The total DFT energy (no corrections) comes out at -3.22 eV per atom. The value obtained for the volume is 450.6 Å³ per cell.

=====

(22)
Density functional theory data (GGA-PBE) for crystalline TbSm6Cd at its relaxed geometry.

```
8
Lattice="4.9842 0.0000 0.0000 0.0000 4.9842 0.0000 0.0000 0.0000 10.1930" Properties=species:S:1:pos:R:3 pbc="T T T"
Tb 0.0000 0.0000 0.0000
Sm 0.0000 2.4921 2.6025
Sm 0.0000 2.4921 7.5905
Sm 2.4921 0.0000 2.6025
Sm 2.4921 0.0000 7.5905
Sm 2.4921 2.4921 0.0000
Sm 2.4921 2.4921 5.0965
Cd 0.0000 0.0000 5.0965
```

Calculated values
The total DFT energy (no corrections) comes out at -4.27 eV per atom. The value obtained for the volume is 253.2 Å³ per cell. Its energy above the most stable polymorph in this dataset is 0.0 kJ/mol of atoms.